Computed, not measured: an optimized crystal structure of MgTaO2 at the PBE level of DFT.

Properties
DOS(E_F): 6.885 states/eV/cell
E: -59.43 eV/cell
Formation energy without anion corrections: -1588 meV/atom

abc: 4.860 4.860 5.655
angles: 64.55 64.55 90.00
Positions (direct):
Ta 0.750 0.250 0.500
Ta 0.000 0.000 0.000
O 0.140 0.625 0.250
O 0.375 0.390 0.750
O 0.610 0.125 0.250
O 0.875 0.860 0.750
Mg 0.250 0.750 0.500
Mg 0.500 0.500 0.000

---

Computed, not measured: an optimized crystal structure of Co2TcTe at the PBE level of DFT.

Properties
DOS(E_F): 4.843 states/eV/cell
E: -26.21 eV/cell
Formation energy without anion corrections: 378 meV/atom

abc: 3.239 3.239 5.675
angles: 90.00 90.00 90.00
Last column: magnetic moment on the atom in μB.
Positions (direct):
Co 0.000 0.000 0.045  1.58
Co 0.500 0.500 0.217  1.76
Te 0.500 0.500 0.748  -0.01
Tc 0.000 0.000 0.490  0.41

---

Computed, not measured: an optimized crystal structure of Sc4AlIr3 at the PBE level of DFT.

Properties
DOS(E_F): 6.299 states/eV/cell
E: -125.26 eV/cell

abc: 4.654 6.411 9.307
angles: 90.00 90.00 90.00
Positions (direct):
Sc 0.999 0.757 0.250
Sc 0.500 0.243 0.000
Sc 0.999 0.243 0.250
Sc 0.500 0.757 0.500
Sc 0.500 0.243 0.500
Sc 0.001 0.757 0.750
Sc 0.001 0.243 0.750
Sc 0.500 0.757 0.000
Ir 0.501 0.000 0.750
Ir 0.000 0.000 0.500
Ir 0.499 0.500 0.250
Ir 0.000 0.000 0.000
Ir 0.501 0.500 0.750
Ir 0.499 0.000 0.250
Al 0.000 0.500 0.000
Al 0.000 0.500 0.500

---

Computed, not measured: an optimized crystal structure of RbSn2GeRh at the PBE level of DFT.

Properties
DOS(E_F): 6.331 states/eV/cell
E: -20.60 eV/cell

abc: 5.359 4.896 5.359
angles: 90.00 90.00 90.00
Positions (direct):
Sn 0.000 0.000 0.500
Sn 0.500 0.000 0.000
Rb 0.500 0.500 0.500
Ge 0.000 0.500 0.000
Rh 0.000 0.000 0.000

---

Computed, not measured: an optimized crystal structure of B5C7 at the PBE level of DFT.

Properties
DOS(E_F): 1.614 states/eV/cell
E: -93.77 eV/cell
Relative energy among the computed polymorphs: 0.091 eV per atom

abc: 4.502 4.502 7.917
angles: 116.11 116.11 33.68
Positions (direct):
C 0.998 0.998 0.518
C 0.323 0.323 0.168
C 0.671 0.671 0.821
C 0.515 0.515 0.865
C 0.163 0.163 0.706
C 0.830 0.830 0.530
C 0.668 0.668 0.350
B 0.839 0.839 0.053
B 0.167 0.167 0.228
B 0.002 0.002 0.964
B 0.492 0.492 0.375
B 0.334 0.334 0.671

---

Computed, not measured: an optimized crystal structure of LaSbPb2 at the PBE level of DFT.

Properties
DOS(E_F): 3.158 states/eV/cell
E: -16.75 eV/cell
Formation energy without anion corrections: -70 meV/atom

abc: 3.644 3.644 9.275
angles: 90.00 90.00 90.00
Positions (direct):
Sb 0.500 0.500 0.250
La 0.500 0.500 0.750
Pb 0.000 0.000 0.487
Pb 0.000 0.000 0.013